! ScTlTeF2 | the Alexandria database | PBE | relaxed; values from VASP
! - total DFT energy (no corrections) (eV for the cell shown) = -26.38
! - SG = P4/mmm
&SYSTEM
  ibrav = 0, nat = 5, ntyp = 4
/
ATOMIC_SPECIES
Sc 44.96 Sc.upf
F 19.00 F.upf
Te 127.60 Te.upf
Tl 204.38 Tl.upf
ATOMIC_POSITIONS crystal
Sc 0.000 0.000 0.000
F 0.500 0.000 0.000
Te 0.000 0.000 0.500
Tl 0.500 0.500 0.500
F 0.000 0.500 0.000
CELL_PARAMETERS angstrom
-2.933 -3.237 -0.560
3.204 -2.984 0.467
-0.949 -0.126 5.704

---

! ScTlTe2F | the Alexandria database | PBE | relaxed; values from VASP
! - total DFT energy (no corrections) (eV for the cell shown) = -23.98
! - SG = P4/mmm
&SYSTEM
  ibrav = 0, nat = 5, ntyp = 4
/
ATOMIC_SPECIES
F 19.00 F.upf
Te 127.60 Te.upf
Tl 204.38 Tl.upf
Sc 44.96 Sc.upf
ATOMIC_POSITIONS crystal
F 0.000 0.000 0.500
Te 0.500 0.000 0.000
Te 0.000 0.500 0.000
Tl 0.500 0.500 0.500
Sc 0.000 0.000 0.000
CELL_PARAMETERS angstrom
-2.409 -5.058 -1.635
3.859 -0.429 -4.357
2.540 -2.001 2.447

---

! Sc3TiF | the Alexandria database | PBE | relaxed; values from VASP
! - ΔE to the lowest computed polymorph (meV per atom) = 1158
! - SG = Pm-3m
&SYSTEM
  ibrav = 0, nat = 5, ntyp = 3
/
ATOMIC_SPECIES
Sc 44.96 Sc.upf
F 19.00 F.upf
Ti 47.87 Ti.upf
ATOMIC_POSITIONS crystal
Sc 0.000 0.500 0.000
Sc 0.500 0.000 0.000
F 0.500 0.500 0.500
Sc 0.000 0.000 0.500
Ti 0.000 0.000 0.000
CELL_PARAMETERS angstrom
-2.623 -1.465 -4.048
4.305 -0.913 -2.459
-0.019 -4.736 1.726

---

! ScTiF2 | the Alexandria database | PBE | relaxed; values from VASP
! - ΔE to the lowest computed polymorph (meV per atom) = 740
! - SG = Fm-3m
&SYSTEM
  ibrav = 0, nat = 4, ntyp = 3
/
ATOMIC_SPECIES
F 19.00 F.upf
Ti 47.87 Ti.upf
Sc 44.96 Sc.upf
ATOMIC_POSITIONS crystal
F 0.750 0.750 0.750
Ti 0.500 0.500 0.500
Sc 0.000 0.000 0.000
F 0.250 0.250 0.250
CELL_PARAMETERS angstrom
4.013 -0.812 -1.021
2.156 -2.955 2.104
1.001 -3.634 -1.898